Record 1
Crystalline TaMn2Pt at its relaxed geometry. Source: Alexandria, functional GGA-PBEsol.

Output
Calculated formation energy in eV/atom: 0.00

a = 8.822 Å, b = 2.739 Å, c = 4.778 Å
α = 90.00°, β = 101.52°, γ = 90.00°
Space group C2/m (No. 12)
Symmetry-distinct sites (fractional):
Ta  0.000  0.000  0.000 x2
Mn  0.247  0.000  0.746 x4
Pt  0.000  0.500  0.500 x2

=====

Record 2
Crystalline TaMn2Pt at its relaxed geometry. Source: Alexandria, functional GGA-PBEsol.

Output
Calculated formation energy in eV/atom: 0.18

a = 2.7910 Å, b = 2.7910 Å, c = 25.9700 Å
α = 90.00°, β = 90.00°, γ = 120.00°
Space group R-3m (No. 166, hexagonal axes)
Symmetry-distinct sites (fractional):
Ta  0.0000  0.0000  0.0000 x3
Mn  0.0000  0.0000  0.2487 x6
Pt  0.0000  0.0000  0.5000 x3

=====

Record 3
Crystalline TaMn3Pt at its relaxed geometry. Source: Alexandria, functional GGA-PBEsol.

Output
Calculated formation energy in eV/atom: 1.46

a = 4.635 Å, b = 4.635 Å, c = 4.635 Å
α = 90.00°, β = 90.00°, γ = 90.00°
Space group Pm-3m (No. 221)
Symmetry-distinct sites (fractional):
Ta  0.000  0.000  0.000 x1
Mn  0.000  0.500  0.500 x3
Pt  0.500  0.500  0.500 x1

=====

Record 4
Crystalline TaMn2Pt at its relaxed geometry. Source: Alexandria, functional GGA-PBEsol.

Output
Calculated formation energy in eV/atom: -0.24

a = 3.865 Å, b = 3.865 Å, c = 3.623 Å
α = 90.00°, β = 90.00°, γ = 90.00°
Space group P4/mmm (No. 123)
Symmetry-distinct sites (fractional):
Ta  0.000  0.000  0.000 x1
Mn  0.000  0.500  0.500 x2
Pt  0.500  0.500  0.000 x1

=====

Record 5
Crystalline TaMn4Pt at its relaxed geometry. Source: Alexandria, functional GGA-PBEsol.

Output
Calculated formation energy in eV/atom: -0.19

a = 6.639 Å, b = 6.639 Å, c = 6.639 Å
α = 90.00°, β = 90.00°, γ = 90.00°
Space group F-43m (No. 216)
Symmetry-distinct sites (fractional):
Ta  0.000  0.000  0.000 x4
Mn  0.121  0.121  0.379 x16
Pt  0.250  0.250  0.750 x4

=====

Record 6
Crystalline MnTc2Pt at its relaxed geometry. Source: Alexandria, functional GGA-PBEsol.

Output
Calculated formation energy in eV/atom: -0.01

a = 4.109 Å, b = 2.636 Å, c = 9.990 Å
α = 90.00°, β = 90.00°, γ = 90.00°
Space group Amm2 (No. 38)
Symmetry-distinct sites (fractional):
Mn  0.000  0.000  0.000 x2
Tc  0.000  0.000  0.758 x2
Tc  0.500  0.000  0.402 x2
Pt  0.500  0.000  0.139 x2